DFT (PBE) results for MgRe2Ru after structural relaxation.

Computed properties:
Its space group is No. 25. For the formation energy from the elements, the calculation gives 0.93 eV/f.u. The value obtained for the density is 13.711 Mg/m³.

Lattice parameters (Å, degrees): 2.763 4.017 5.432 90.00 90.00 90.00
Element x y z (fractional)
1 Re 0.500 0.500 0.238
2 Mg 0.500 0.500 0.737
3 Re 0.000 0.000 0.012
4 Ru 0.000 0.000 0.513